Crystalline MnBe2Co at its relaxed geometry. Source: Alexandria via LeMat-Bulk, functional PBE.

Lattice parameters (Å, degrees): 2.354 3.597 4.478 90.00 99.17 90.00
Space group P2/m (No. 10)
Symmetry-distinct sites (fractional):
1 Mn 0.000 0.000 0.000 x1
2 Be 0.281 0.500 0.745 x2
3 Co 0.500 0.000 0.500 x1

Properties
The value obtained for the density of states at the Fermi level is 0.808 states/eV/atom. As for the calculated density: 5.852 g/cm³. The value obtained for the total energy is -5.990 eV/atom. The energy of formation is -58 meV per atom.

***

Crystalline MnBeCo2 at its relaxed geometry. Source: Alexandria via LeMat-Bulk, functional PBE.

Lattice parameters (Å, degrees): 2.830 3.868 7.569 90.00 90.00 90.00
Space group Cmm2 (No. 35)
Symmetry-distinct sites (fractional):
1 Mn 0.000 0.000 0.000 x2
2 Be 0.000 0.500 0.239 x2
3 Co 0.000 0.000 0.469 x2
4 Co 0.000 0.500 0.732 x2

Properties
The value obtained for the density of states at the Fermi level is 1.437 states/eV/atom. As for the calculated density: 7.290 g/cm³. The value obtained for the total energy is -6.716 eV/atom. The energy of formation is 61 meV per atom.

***

Crystalline MnBe5Co6 at its relaxed geometry. Source: Alexandria via LeMat-Bulk, functional PBE.

Lattice parameters (Å, degrees): 3.723 11.127 5.285 90.00 90.00 90.00
Space group Cmmm (No. 65)
Symmetry-distinct sites (fractional):
1 Mn 0.000 0.000 0.000 x2
2 Be 0.000 0.000 0.500 x2
3 Be 0.000 0.335 0.000 x4
4 Be 0.000 0.336 0.500 x4
5 Co 0.000 0.170 0.255 x8
6 Co 0.000 0.500 0.260 x4

Properties
The value obtained for the density of states at the Fermi level is 1.170 states/eV/atom. As for the calculated density: 6.881 g/cm³. The value obtained for the total energy is -6.124 eV/atom. The energy of formation is -254 meV per atom.

***

Crystalline Mn3BeCo at its relaxed geometry. Source: Alexandria via LeMat-Bulk, functional PBE.

Lattice parameters (Å, degrees): 4.398 4.398 4.398 90.00 90.00 90.00
Space group Pm-3m (No. 221)
Symmetry-distinct sites (fractional):
1 Mn 0.000 0.000 0.500 x3
2 Be 0.500 0.500 0.500 x1
3 Co 0.000 0.000 0.000 x1

Properties
The value obtained for the density of states at the Fermi level is 0.811 states/eV/atom. The energy above the most stable polymorph in this dataset is 330 meV per atom. As for the calculated density: 4.544 g/cm³. The value obtained for the total energy is -6.510 eV/atom. The energy of formation is 1159 meV per atom.

***

Crystalline MnBeCo2 at its relaxed geometry. Source: Alexandria via LeMat-Bulk, functional PBE.

Lattice parameters (Å, degrees): 2.558 3.981 4.087 90.00 90.00 90.00
Space group Pmm2 (No. 25)
Symmetry-distinct sites (fractional):
1 Mn 0.000 0.000 0.000 x1
2 Be 0.500 0.500 0.847 x1
3 Co 0.000 0.500 0.351 x1
4 Co 0.500 0.000 0.511 x1

Properties
The value obtained for the density of states at the Fermi level is 1.102 states/eV/atom. As for the calculated density: 7.254 g/cm³. The value obtained for the total energy is -6.789 eV/atom. The energy of formation is -12 meV per atom.

***

Crystalline MnBe2Co at its relaxed geometry. Source: Alexandria via LeMat-Bulk, functional PBE.

Lattice parameters (Å, degrees): 5.781 5.781 4.615 90.00 90.00 90.00
Space group I-42d (No. 122)
Symmetry-distinct sites (fractional):
1 Mn 0.000 0.000 0.000 x4
2 Be 0.241 0.250 0.625 x8
3 Co 0.000 0.000 0.500 x4

Properties
The value obtained for the density of states at the Fermi level is 1.508 states/eV/atom. As for the calculated density: 5.680 g/cm³. The value obtained for the total energy is -5.589 eV/atom. The energy of formation is 343 meV per atom.

***

Crystalline MnBeCo2 at its relaxed geometry. Source: Alexandria via LeMat-Bulk, functional PBE.

Lattice parameters (Å, degrees): 2.464 3.901 9.387 90.00 90.00 90.00
Space group Immm (No. 71)
Symmetry-distinct sites (fractional):
1 Mn 0.000 0.000 0.000 x2
2 Be 0.000 0.000 0.500 x2
3 Co 0.000 0.000 0.287 x4

Properties
The value obtained for the density of states at the Fermi level is 0.811 states/eV/atom. As for the calculated density: 6.692 g/cm³. The value obtained for the total energy is -6.448 eV/atom. The energy of formation is 329 meV per atom.

***

Crystalline MnBeCo3 at its relaxed geometry. Source: Alexandria via LeMat-Bulk, functional PBE.

Lattice parameters (Å, degrees): 3.867 3.867 3.867 90.00 90.00 90.00
Space group Pm-3m (No. 221)
Symmetry-distinct sites (fractional):
1 Mn 0.000 0.000 0.000 x1
2 Be 0.500 0.500 0.500 x1
3 Co 0.000 0.500 0.500 x3

Properties
The value obtained for the density of states at the Fermi level is 2.268 states/eV/atom. The energy above the most stable polymorph in this dataset is 0 meV per atom. As for the calculated density: 6.913 g/cm³. The value obtained for the total energy is -6.397 eV/atom. The energy of formation is 446 meV per atom.

***

Question: Which of these has the highest energy of formation?
Answer: Mn3BeCo

***

Question: calculated density of number 5 (MnBeCo2)?
Answer: 7.254 g/cm³

***

Question: The highest energy of formation belongs to which entry?
Answer: Mn3BeCo